# Sr2Zn3Ga | the Alexandria database | PBE | relaxed
data_Sr2Zn3Ga
_cell_length_a 11.1074
_cell_length_b 4.6814
_cell_length_c 7.8132
_cell_angle_alpha 90.00
_cell_angle_beta 134.17
_cell_angle_gamma 90.00
_space_group_name_H-M_alt 'C 1 m 1'
_space_group_IT_number 8
loop_
_space_group_symop_operation_xyz
'x,y,z'
'x,-y,z'
'x+1/2,y+1/2,z'
'x+1/2,-y+1/2,z'
loop_
_atom_site_label
_atom_site_type_symbol
_atom_site_fract_x
_atom_site_fract_y
_atom_site_fract_z
Sr1 Sr 0.0000 0.0000 0.0000
Sr2 Sr 0.0890 0.0000 0.5958
Zn1 Zn 0.2136 0.5000 0.0336
Zn2 Zn 0.3761 0.0000 0.5763
Zn3 Zn 0.3859 0.0000 0.1902
Ga1 Ga 0.2087 0.5000 0.4012
# Size of the total moment: 0.000 μB per cell
# Total DFT energy (no corrections): -2.008 eV/atom
# Relative energy among the computed polymorphs: 0 meV per atom
# Energy relative to the elements: -306 meV per atom